Entry 1:
# KPmPu2Se4 | the Alexandria database | PBE | relaxed
# total magnetization: 0.24 μB per cell
# formation energy from raw total energies: -1.535 eV/atom
# N(E_F): 27.6 states/eV/f.u.
data_KPmPu2Se4
_chemical_formula_sum 'K1 Pm1 Pu2 Se4'
_cell_length_a 4.2171
_cell_length_b 7.3867
_cell_length_c 7.4721
_cell_angle_alpha 70.98
_cell_angle_beta 90.00
_cell_angle_gamma 90.00
_symmetry_space_group_name_H-M 'P 1'
_symmetry_Int_Tables_number 1
_symmetry_space_group_name_Hall 'P 1'
loop_
_atom_site_label
_atom_site_type_symbol
_atom_site_fract_x
_atom_site_fract_y
_atom_site_fract_z
K1 K 0.5000 0.5000 0.0000
Pm1 Pm 0.0000 0.5000 0.5000
Pu1 Pu 0.0000 0.0000 0.0000
Pu2 Pu 0.5000 0.0000 0.5000
Se1 Se 0.0000 0.7676 0.7304
Se2 Se 0.0000 0.2324 0.2696
Se3 Se 0.5000 0.7584 0.2546
Se4 Se 0.5000 0.2416 0.7454

***

Entry 2:
# K3PmPu2Se6 | the Alexandria database | PBE | relaxed
# total magnetization: 10.00 μB per cell
# formation energy from raw total energies: -1.557 eV/atom
# N(E_F): 22.5 states/eV/f.u.
data_K3PmPu2Se6
_chemical_formula_sum 'K3 Pm1 Pu2 Se6'
_cell_length_a 7.4410
_cell_length_b 7.4410
_cell_length_c 8.0516
_cell_angle_alpha 98.86
_cell_angle_beta 98.86
_cell_angle_gamma 120.00
_symmetry_space_group_name_H-M 'P 1'
_symmetry_Int_Tables_number 1
_symmetry_space_group_name_Hall 'P 1'
loop_
_atom_site_label
_atom_site_type_symbol
_atom_site_fract_x
_atom_site_fract_y
_atom_site_fract_z
K1 K 0.1660 0.8340 0.5000
K2 K 0.8340 0.1660 0.5000
K3 K 0.5000 0.5000 0.5000
Pm1 Pm 0.0000 0.0000 0.0000
Pu1 Pu 0.3332 0.6668 0.0000
Pu2 Pu 0.6668 0.3332 0.0000
Se1 Se 0.9310 0.5937 0.7932
Se2 Se 0.7316 0.7316 0.2068
Se3 Se 0.0690 0.4063 0.2068
Se4 Se 0.5937 0.9310 0.7932
Se5 Se 0.2684 0.2684 0.7932
Se6 Se 0.4063 0.0690 0.2068

***

Entry 3:
# K3Pm2PuSe6 | the Alexandria database | PBE | relaxed
# total magnetization: 5.00 μB per cell
# formation energy from raw total energies: -1.648 eV/atom
# N(E_F): 13.0 states/eV/f.u.
data_K3Pm2PuSe6
_chemical_formula_sum 'K3 Pm2 Pu1 Se6'
_cell_length_a 7.4816
_cell_length_b 7.4816
_cell_length_c 8.0652
_cell_angle_alpha 98.90
_cell_angle_beta 98.90
_cell_angle_gamma 119.99
_symmetry_space_group_name_H-M 'P 1'
_symmetry_Int_Tables_number 1
_symmetry_space_group_name_Hall 'P 1'
loop_
_atom_site_label
_atom_site_type_symbol
_atom_site_fract_x
_atom_site_fract_y
_atom_site_fract_z
K1 K 0.1673 0.8327 0.5000
K2 K 0.8327 0.1673 0.5000
K3 K 0.5000 0.5000 0.5000
Pm1 Pm 0.3334 0.6666 0.0000
Pm2 Pm 0.6666 0.3334 0.0000
Pu1 Pu 0.0000 0.0000 0.0000
Se1 Se 0.9306 0.5996 0.7917
Se2 Se 0.7384 0.7384 0.2083
Se3 Se 0.0694 0.4004 0.2083
Se4 Se 0.5996 0.9306 0.7917
Se5 Se 0.2616 0.2616 0.7917
Se6 Se 0.4004 0.0694 0.2083

***

Entry 4:
# K2PmPuSe4 | the Alexandria database | PBE | relaxed
# total magnetization: 5.00 μB per cell
# formation energy from raw total energies: -1.602 eV/atom
# N(E_F): 12.2 states/eV/f.u.
data_K2PmPuSe4
_chemical_formula_sum 'K2 Pm1 Pu1 Se4'
_cell_length_a 4.3073
_cell_length_b 7.4690
_cell_length_c 8.0563
_cell_angle_alpha 108.01
_cell_angle_beta 90.00
_cell_angle_gamma 90.00
_symmetry_space_group_name_H-M 'P 1'
_symmetry_Int_Tables_number 1
_symmetry_space_group_name_Hall 'P 1'
loop_
_atom_site_label
_atom_site_type_symbol
_atom_site_fract_x
_atom_site_fract_y
_atom_site_fract_z
K1 K 0.5000 0.0000 0.5000
K2 K 0.0000 0.5000 0.5000
Pm1 Pm 0.5000 0.5000 0.0000
Pu1 Pu 0.0000 0.0000 0.0000
Se1 Se 0.5000 0.2320 0.2054
Se2 Se 0.5000 0.7680 0.7946
Se3 Se 0.0000 0.2621 0.7905
Se4 Se 0.0000 0.7379 0.2095

***

Entry 5:
# KPmPu2Te4 | the Alexandria database | PBE | relaxed
# total magnetization: 11.69 μB per cell
# formation energy from raw total energies: -1.184 eV/atom
# N(E_F): 23.9 states/eV/f.u.
data_KPmPu2Te4
_chemical_formula_sum 'K1 Pm1 Pu2 Te4'
_cell_length_a 4.5011
_cell_length_b 7.8849
_cell_length_c 7.9428
_cell_angle_alpha 71.30
_cell_angle_beta 90.00
_cell_angle_gamma 90.00
_symmetry_space_group_name_H-M 'P 1'
_symmetry_Int_Tables_number 1
_symmetry_space_group_name_Hall 'P 1'
loop_
_atom_site_label
_atom_site_type_symbol
_atom_site_fract_x
_atom_site_fract_y
_atom_site_fract_z
K1 K 0.5000 0.5000 0.0000
Pm1 Pm 0.0000 0.5000 0.5000
Pu1 Pu 0.0000 0.0000 0.0000
Pu2 Pu 0.5000 0.0000 0.5000
Te1 Te 0.0000 0.7659 0.7336
Te2 Te 0.0000 0.2341 0.2664
Te3 Te 0.5000 0.7570 0.2560
Te4 Te 0.5000 0.2430 0.7440

***

Entry 6:
# K3Pm2PuTe6 | the Alexandria database | PBE | relaxed
# total magnetization: 5.00 μB per cell
# formation energy from raw total energies: -1.304 eV/atom
# N(E_F): 14.2 states/eV/f.u.
data_K3Pm2PuTe6
_chemical_formula_sum 'K3 Pm2 Pu1 Te6'
_cell_length_a 7.9584
_cell_length_b 7.9584
_cell_length_c 8.6373
_cell_angle_alpha 98.83
_cell_angle_beta 98.83
_cell_angle_gamma 120.00
_symmetry_space_group_name_H-M 'P 1'
_symmetry_Int_Tables_number 1
_symmetry_space_group_name_Hall 'P 1'
loop_
_atom_site_label
_atom_site_type_symbol
_atom_site_fract_x
_atom_site_fract_y
_atom_site_fract_z
K1 K 0.1671 0.8329 0.5000
K2 K 0.8329 0.1671 0.5000
K3 K 0.5000 0.5000 0.5000
Pm1 Pm 0.3335 0.6665 0.0000
Pm2 Pm 0.6665 0.3335 0.0000
Pu1 Pu 0.0000 0.0000 0.0000
Te1 Te 0.9294 0.5976 0.7880
Te2 Te 0.7390 0.7390 0.2123
Te3 Te 0.0706 0.4024 0.2120
Te4 Te 0.5976 0.9294 0.7880
Te5 Te 0.2610 0.2610 0.7877
Te6 Te 0.4024 0.0706 0.2120

***

Entry 7:
# KPm3Pu2Te6 | the Alexandria database | PBE | relaxed
# total magnetization: 12.00 μB per cell
# formation energy from raw total energies: -1.279 eV/atom
# N(E_F): 28.6 states/eV/f.u.
data_KPm3Pu2Te6
_chemical_formula_sum 'K1 Pm3 Pu2 Te6'
_cell_length_a 4.4729
_cell_length_b 9.1321
_cell_length_c 10.1249
_cell_angle_alpha 103.40
_cell_angle_beta 102.76
_cell_angle_gamma 90.00
_symmetry_space_group_name_H-M 'P 1'
_symmetry_Int_Tables_number 1
_symmetry_space_group_name_Hall 'P 1'
loop_
_atom_site_label
_atom_site_type_symbol
_atom_site_fract_x
_atom_site_fract_y
_atom_site_fract_z
K1 K 0.5000 0.0000 0.0000
Pm1 Pm 0.5000 0.5000 0.0000
Pm2 Pm 0.8358 0.1708 0.6717
Pm3 Pm 0.1642 0.8292 0.3283
Pu1 Pu 0.8319 0.6650 0.6638
Pu2 Pu 0.1681 0.3350 0.3362
Te1 Te 0.3284 0.9140 0.6568
Te2 Te 0.6668 0.5806 0.3337
Te3 Te 0.6716 0.0860 0.3432
Te4 Te 0.0017 0.2628 0.0035
Te5 Te 0.9983 0.7372 0.9965
Te6 Te 0.3332 0.4194 0.6663

***

Entry 8:
# K3Pm3ReS8 | the Alexandria database | PBE | relaxed
# total magnetization: 3.00 μB per cell
# formation energy from raw total energies: -1.454 eV/atom
data_K3Pm3ReS8
_chemical_formula_sum 'K3 Pm3 Re1 S8'
_cell_length_a 8.0363
_cell_length_b 8.0365
_cell_length_c 8.8430
_cell_angle_alpha 117.03
_cell_angle_beta 90.00
_cell_angle_gamma 120.00
_symmetry_space_group_name_H-M 'P 1'
_symmetry_Int_Tables_number 1
_symmetry_space_group_name_Hall 'P 1'
loop_
_atom_site_label
_atom_site_type_symbol
_atom_site_fract_x
_atom_site_fract_y
_atom_site_fract_z
K1 K 0.0000 0.0000 0.0000
K2 K 0.0000 0.5000 0.0000
K3 K 0.5000 0.5000 0.0000
Pm1 Pm 0.5000 0.0000 0.5000
Pm2 Pm 0.5000 0.5000 0.5000
Pm3 Pm 0.0000 0.5000 0.5000
Re1 Re 0.0000 0.0000 0.5000
S1 S 0.2640 0.5281 0.2922
S2 S 0.7360 0.4719 0.7078
S3 S 0.7891 0.5782 0.3114
S4 S 0.2109 0.4218 0.6886
S5 S 0.7891 0.0223 0.3114
S6 S 0.2109 0.9777 0.6886
S7 S 0.2332 0.0223 0.3114
S8 S 0.7668 0.9777 0.6886